Density functional theory data (GGA-PBE) for a geometry-optimized Ag6IrBr12 structure.

Structure (extended XYZ):
```
19
Lattice="5.704 3.293 5.439 -5.704 3.293 5.439 0.000 -6.587 5.439" Properties=species:S:1:pos:R:3 pbc="T T T"
Ag -3.950 -1.043 8.240
Ag -1.072 -3.942 8.076
Ag -2.878 2.899 8.076
Ag 2.878 -2.899 8.240
Ag 1.072 3.942 8.240
Ag 3.950 1.043 8.076
Ir 0.000 0.000 8.158
Br -3.520 -3.524 9.035
Br -4.812 1.286 7.281
Br -1.565 -1.309 6.720
Br 1.292 -4.810 7.281
Br -1.916 0.701 9.596
Br -0.351 2.010 6.720
Br 0.351 -2.010 9.596
Br 1.916 -0.701 6.720
Br -1.292 4.810 9.035
Br 1.565 1.309 9.596
Br 4.812 -1.286 9.035
Br 3.520 3.524 7.281
```

Computed properties:
D(E_F)   10.1 states/eV/cell
Formation energy (no corrections)   -0.27 eV/atom
Spin magnetization   0.000 μB per cell
SG   R-3